Record 1
Here is a relaxed structure of GdThAl from OQMD via LeMat-Bulk. Energies are from GGA-PBE. Values from VASP.

- Space group: No. 216
- Electronic total energy: -5.222 eV/atom
- Magnetization: 0.000 μB per formula unit

The structure in Quantum ESPRESSO input format:
```
&SYSTEM
  ibrav = 0, nat = 3, ntyp = 3
/
ATOMIC_SPECIES
Al 26.98 Al.upf
Gd 157.25 Gd.upf
Th 232.04 Th.upf
CELL_PARAMETERS angstrom
0.000 3.590 3.590
3.590 0.000 3.590
3.590 3.590 0.000
ATOMIC_POSITIONS crystal
Al 0.000 0.000 0.000
Gd 0.250 0.250 0.250
Th 0.750 0.750 0.750
```

---

Record 2
Here is a relaxed structure of GdAlTl from OQMD via LeMat-Bulk. Energies are from GGA-PBE. Values from VASP.

- Excess energy over the best structure of this formula in the dataset: 0 meV per atom
- Space group: No. 216
- Magnetization: 0.009 μB per formula unit

The structure in Quantum ESPRESSO input format:
```
&SYSTEM
  ibrav = 0, nat = 3, ntyp = 3
/
ATOMIC_SPECIES
Al 26.98 Al.upf
Gd 157.25 Gd.upf
Tl 204.38 Tl.upf
CELL_PARAMETERS angstrom
0.000 3.417 3.417
3.417 0.000 3.417
3.417 3.417 0.000
ATOMIC_POSITIONS crystal
Al 0.000 0.000 0.000
Gd 0.250 0.250 0.250
Tl 0.750 0.750 0.750
```

---

Record 3
Here is a relaxed structure of Gd4AlTl from OQMD via LeMat-Bulk. Energies are from GGA-PBE. Values from VASP.

- Space group: No. 187
- Electronic total energy: -4.378 eV/atom
- Magnetization: 0.991 μB per formula unit

The structure in Quantum ESPRESSO input format:
```
&SYSTEM
  ibrav = 0, nat = 6, ntyp = 3
/
ATOMIC_SPECIES
Al 26.98 Al.upf
Gd 157.25 Gd.upf
Tl 204.38 Tl.upf
CELL_PARAMETERS angstrom
5.367 0.000 0.000
-2.684 4.648 0.000
0.000 0.000 6.763
ATOMIC_POSITIONS crystal
Al 0.000 0.000 0.000
Gd 0.333 0.667 0.000
Gd 0.667 0.333 0.242
Gd 0.000 0.000 0.500
Gd 0.667 0.333 0.758
Tl 0.333 0.667 0.500
```

---

Record 4
Here is a relaxed structure of GdTm2Al from OQMD via LeMat-Bulk. Energies are from GGA-PBE. Values from VASP.

- Excess energy over the best structure of this formula in the dataset: 28 meV per atom
- Space group: No. 40
- Magnetization: 0.037 μB per formula unit

The structure in Quantum ESPRESSO input format:
```
&SYSTEM
  ibrav = 0, nat = 8, ntyp = 3
/
ATOMIC_SPECIES
Al 26.98 Al.upf
Gd 157.25 Gd.upf
Tm 168.93 Tm.upf
CELL_PARAMETERS angstrom
-0.566 -3.376 -3.656
4.528 -3.926 2.924
-5.710 -2.044 2.772
ATOMIC_POSITIONS crystal
Al 0.250 0.422 0.074
Al 0.750 0.074 0.422
Gd 0.750 0.568 0.344
Gd 0.250 0.344 0.568
Tm 0.250 0.934 0.154
Tm 0.250 0.870 0.634
Tm 0.750 0.634 0.870
Tm 0.750 0.154 0.934
```

---

Record 5
Here is a relaxed structure of Gd2Tm3Al3 from OQMD via LeMat-Bulk. Energies are from GGA-PBE. Values from VASP.

- Excess energy over the best structure of this formula in the dataset: 94 meV per atom
- Space group: No. 187
- Magnetization: 0.043 μB per formula unit

The structure in Quantum ESPRESSO input format:
```
&SYSTEM
  ibrav = 0, nat = 8, ntyp = 3
/
ATOMIC_SPECIES
Al 26.98 Al.upf
Gd 157.25 Gd.upf
Tm 168.93 Tm.upf
CELL_PARAMETERS angstrom
6.853 0.000 0.000
-3.426 5.935 0.000
0.000 0.000 5.086
ATOMIC_POSITIONS crystal
Al 0.049 0.524 0.000
Al 0.476 0.524 0.000
Al 0.476 0.951 0.000
Gd 0.000 0.000 0.000
Gd 0.667 0.333 0.500
Tm 0.175 0.350 0.500
Tm 0.175 0.825 0.500
Tm 0.650 0.825 0.500
```

---

Record 6
Here is a relaxed structure of Gd2Tm5Al from OQMD via LeMat-Bulk. Energies are from GGA-PBE. Values from VASP.

- Space group: No. 38
- Electronic total energy: -4.465 eV/atom
- Magnetization: 0.095 μB per formula unit

The structure in Quantum ESPRESSO input format:
```
&SYSTEM
  ibrav = 0, nat = 8, ntyp = 3
/
ATOMIC_SPECIES
Al 26.98 Al.upf
Gd 157.25 Gd.upf
Tm 168.93 Tm.upf
CELL_PARAMETERS angstrom
5.462 0.000 0.000
0.000 3.489 6.053
0.000 -3.489 6.053
ATOMIC_POSITIONS crystal
Al 0.000 0.164 0.164
Gd 0.500 0.328 0.328
Gd 0.000 0.671 0.671
Tm 0.000 0.672 0.160
Tm 0.500 0.841 0.329
Tm 0.000 0.160 0.672
Tm 0.500 0.834 0.834
Tm 0.500 0.329 0.841
```

---

Record 7
Here is a relaxed structure of GdTm2Al from OQMD via LeMat-Bulk. Energies are from GGA-PBE. Values from VASP.

- Excess energy over the best structure of this formula in the dataset: 0 meV per atom
- Space group: No. 63
- Magnetization: 0.004 μB per formula unit

The structure in Quantum ESPRESSO input format:
```
&SYSTEM
  ibrav = 0, nat = 8, ntyp = 3
/
ATOMIC_SPECIES
Al 26.98 Al.upf
Gd 157.25 Gd.upf
Tm 168.93 Tm.upf
CELL_PARAMETERS angstrom
3.381 -5.891 0.000
3.381 5.891 0.000
0.000 0.000 5.275
ATOMIC_POSITIONS crystal
Al 0.336 0.664 0.250
Al 0.664 0.336 0.750
Gd 0.824 0.176 0.250
Gd 0.176 0.824 0.750
Tm 0.348 0.175 0.250
Tm 0.825 0.652 0.250
Tm 0.175 0.348 0.750
Tm 0.652 0.825 0.750
```

---

Record 8
Here is a relaxed structure of Gd2Tm3Al3 from OQMD via LeMat-Bulk. Energies are from GGA-PBE. Values from VASP.

- Excess energy over the best structure of this formula in the dataset: 0 meV per atom
- Space group: No. 6
- Magnetization: 0.015 μB per formula unit

The structure in Quantum ESPRESSO input format:
```
&SYSTEM
  ibrav = 0, nat = 8, ntyp = 3
/
ATOMIC_SPECIES
Al 26.98 Al.upf
Gd 157.25 Gd.upf
Tm 168.93 Tm.upf
CELL_PARAMETERS angstrom
-0.548 -2.443 5.979
4.302 -2.380 -0.578
3.209 5.552 1.028
ATOMIC_POSITIONS crystal
Al 0.407 0.500 0.094
Al 0.129 0.000 0.368
Al 0.840 0.500 0.662
Gd 0.637 0.000 0.378
Gd 0.331 0.500 0.591
Tm 0.912 0.500 0.157
Tm 0.622 0.000 0.875
Tm 0.122 0.000 0.876
```

---

Record 9
Here is a relaxed structure of Gd2Tm3Al3 from OQMD via LeMat-Bulk. Energies are from GGA-PBE. Values from VASP.

- Excess energy over the best structure of this formula in the dataset: 125 meV per atom
- Space group: No. 38
- Magnetization: 0.058 μB per formula unit

The structure in Quantum ESPRESSO input format:
```
&SYSTEM
  ibrav = 0, nat = 8, ntyp = 3
/
ATOMIC_SPECIES
Al 26.98 Al.upf
Gd 157.25 Gd.upf
Tm 168.93 Tm.upf
CELL_PARAMETERS angstrom
-0.781 5.181 1.098
-6.221 -1.165 1.072
-1.034 -1.462 6.164
ATOMIC_POSITIONS crystal
Al 0.500 0.148 0.148
Al 0.000 0.763 0.396
Al 0.000 0.396 0.763
Gd 0.000 0.290 0.290
Gd 0.500 0.679 0.679
Tm 0.500 0.661 0.185
Tm 0.500 0.185 0.661
Tm 0.000 0.878 0.878
```

---

Record 10
Here is a relaxed structure of Gd2Tm2Al from OQMD via LeMat-Bulk. Energies are from GGA-PBE. Values from VASP.

- Space group: No. 71
- Electronic total energy: -4.430 eV/atom
- Magnetization: 0.623 μB per formula unit

The structure in Quantum ESPRESSO input format:
```
&SYSTEM
  ibrav = 0, nat = 5, ntyp = 3
/
ATOMIC_SPECIES
Al 26.98 Al.upf
Gd 157.25 Gd.upf
Tm 168.93 Tm.upf
CELL_PARAMETERS angstrom
-1.812 3.961 5.175
1.812 -3.961 5.175
1.812 3.961 -5.175
ATOMIC_POSITIONS crystal
Al 0.000 0.000 0.000
Gd 0.751 0.251 0.500
Gd 0.249 0.749 0.500
Tm 0.700 0.500 0.200
Tm 0.300 0.500 0.800
```

---

Record 11
Here is a relaxed structure of GdTm2Al from OQMD via LeMat-Bulk. Energies are from GGA-PBE. Values from VASP.

- Excess energy over the best structure of this formula in the dataset: 102 meV per atom
- Space group: No. 38
- Magnetization: 0.015 μB per formula unit

The structure in Quantum ESPRESSO input format:
```
&SYSTEM
  ibrav = 0, nat = 8, ntyp = 3
/
ATOMIC_SPECIES
Al 26.98 Al.upf
Gd 157.25 Gd.upf
Tm 168.93 Tm.upf
CELL_PARAMETERS angstrom
5.291 0.000 0.000
0.000 3.498 5.852
0.000 -3.498 5.852
ATOMIC_POSITIONS crystal
Al 0.000 0.871 0.283
Al 0.000 0.283 0.871
Gd 0.000 0.352 0.352
Gd 0.500 0.648 0.648
Tm 0.500 0.685 0.160
Tm 0.500 0.172 0.172
Tm 0.500 0.160 0.685
Tm 0.000 0.827 0.827
```

---

Record 12
Here is a relaxed structure of GdTmAl2Zn2 from OQMD via LeMat-Bulk. Energies are from GGA-PBE. Values from VASP.

- Space group: No. 156
- Electronic total energy: -3.655 eV/atom
- Magnetization: 0.001 μB per formula unit

The structure in Quantum ESPRESSO input format:
```
&SYSTEM
  ibrav = 0, nat = 6, ntyp = 4
/
ATOMIC_SPECIES
Al 26.98 Al.upf
Gd 157.25 Gd.upf
Tm 168.93 Tm.upf
Zn 65.41 Zn.upf
CELL_PARAMETERS angstrom
-3.643 -0.651 -2.500
0.462 -2.164 3.879
-3.289 5.379 3.392
ATOMIC_POSITIONS crystal
Al 0.333 0.667 0.476
Al 0.667 0.333 0.964
Gd 0.000 0.000 0.244
Tm 0.000 0.000 0.744
Zn 0.333 0.667 0.029
Zn 0.667 0.333 0.543
```

---

Record 13
Here is a relaxed structure of GdUAl from OQMD via LeMat-Bulk. Energies are from GGA-PBE. Values from VASP.

- Excess energy over the best structure of this formula in the dataset: 0 meV per atom
- Space group: No. 216
- Magnetization: 3.404 μB per formula unit

The structure in Quantum ESPRESSO input format:
```
&SYSTEM
  ibrav = 0, nat = 3, ntyp = 3
/
ATOMIC_SPECIES
Al 26.98 Al.upf
Gd 157.25 Gd.upf
U 238.03 U.upf
CELL_PARAMETERS angstrom
0.000 3.510 3.510
3.510 0.000 3.510
3.510 3.510 0.000
ATOMIC_POSITIONS crystal
Al 0.000 0.000 0.000
Gd 0.250 0.250 0.250
U 0.750 0.750 0.750
```

---

Record 14
Here is a relaxed structure of Gd2AlW2 from OQMD via LeMat-Bulk. Energies are from GGA-PBE. Values from VASP.

- Space group: No. 194
- Electronic total energy: -7.206 eV/atom
- Magnetization: 0.004 μB per formula unit

The structure in Quantum ESPRESSO input format:
```
&SYSTEM
  ibrav = 0, nat = 10, ntyp = 3
/
ATOMIC_SPECIES
Al 26.98 Al.upf
Gd 157.25 Gd.upf
W 183.84 W.upf
CELL_PARAMETERS angstrom
4.835 0.000 0.000
-2.418 4.188 0.000
0.000 0.000 11.675
ATOMIC_POSITIONS crystal
Al 0.000 0.000 0.250
Al 0.000 0.000 0.750
Gd 0.000 0.000 0.000
Gd 0.333 0.667 0.250
Gd 0.000 0.000 0.500
Gd 0.667 0.333 0.750
W 0.667 0.333 0.146
W 0.667 0.333 0.354
W 0.333 0.667 0.646
W 0.333 0.667 0.854
```

---

Record 15
Here is a relaxed structure of GdAlW from OQMD via LeMat-Bulk. Energies are from GGA-PBE. Values from VASP.

- Space group: No. 216
- Electronic total energy: -6.414 eV/atom
- Magnetization: 0.987 μB per formula unit

The structure in Quantum ESPRESSO input format:
```
&SYSTEM
  ibrav = 0, nat = 3, ntyp = 3
/
ATOMIC_SPECIES
Al 26.98 Al.upf
Gd 157.25 Gd.upf
W 183.84 W.upf
CELL_PARAMETERS angstrom
3.015 2.258 2.613
-1.358 3.626 2.454
-0.257 -0.290 4.568
ATOMIC_POSITIONS crystal
Al 0.000 0.000 0.000
Gd 0.250 0.250 0.250
W 0.750 0.750 0.750
```

---

Record 16
Here is a relaxed structure of GdYAl2 from OQMD via LeMat-Bulk. Energies are from GGA-PBE. Values from VASP.

- Excess energy over the best structure of this formula in the dataset: 220 meV per atom
- Space group: No. 40
- Magnetization: 0.003 μB per formula unit

The structure in Quantum ESPRESSO input format:
```
&SYSTEM
  ibrav = 0, nat = 8, ntyp = 3
/
ATOMIC_SPECIES
Al 26.98 Al.upf
Gd 157.25 Gd.upf
Y 88.91 Y.upf
CELL_PARAMETERS angstrom
-2.462 -3.330 2.933
4.994 -4.588 -1.018
-0.250 4.633 5.050
ATOMIC_POSITIONS crystal
Al 0.750 0.857 0.158
Al 0.750 0.299 0.183
Al 0.250 0.183 0.299
Al 0.250 0.158 0.857
Gd 0.250 0.702 0.307
Gd 0.750 0.307 0.702
Y 0.750 0.824 0.670
Y 0.250 0.670 0.824
```

---

Record 17
Here is a relaxed structure of GdYAl2 from OQMD via LeMat-Bulk. Energies are from GGA-PBE. Values from VASP.

- Excess energy over the best structure of this formula in the dataset: 207 meV per atom
- Space group: No. 38
- Magnetization: 0.003 μB per formula unit

The structure in Quantum ESPRESSO input format:
```
&SYSTEM
  ibrav = 0, nat = 8, ntyp = 3
/
ATOMIC_SPECIES
Al 26.98 Al.upf
Gd 157.25 Gd.upf
Y 88.91 Y.upf
CELL_PARAMETERS angstrom
5.043 0.000 0.000
0.000 3.364 5.698
0.000 -3.364 5.698
ATOMIC_POSITIONS crystal
Al 0.500 0.712 0.129
Al 0.500 0.159 0.159
Al 0.500 0.129 0.712
Al 0.000 0.837 0.837
Gd 0.000 0.337 0.337
Gd 0.500 0.667 0.667
Y 0.000 0.847 0.312
Y 0.000 0.312 0.847
```

---

Record 18
Here is a relaxed structure of GdYAl2 from OQMD via LeMat-Bulk. Energies are from GGA-PBE. Values from VASP.

- Excess energy over the best structure of this formula in the dataset: 0 meV per atom
- Space group: No. 63
- Magnetization: 0.002 μB per formula unit

The structure in Quantum ESPRESSO input format:
```
&SYSTEM
  ibrav = 0, nat = 8, ntyp = 3
/
ATOMIC_SPECIES
Al 26.98 Al.upf
Gd 157.25 Gd.upf
Y 88.91 Y.upf
CELL_PARAMETERS angstrom
3.570 4.184 3.009
-4.773 -1.733 3.677
2.850 -3.803 1.907
ATOMIC_POSITIONS crystal
Al 0.373 0.131 0.250
Al 0.869 0.627 0.250
Al 0.131 0.373 0.750
Al 0.627 0.869 0.750
Gd 0.873 0.127 0.250
Gd 0.127 0.873 0.750
Y 0.372 0.628 0.250
Y 0.628 0.372 0.750
```

---

Record 19
Here is a relaxed structure of GdYAl from OQMD via LeMat-Bulk. Energies are from GGA-PBE. Values from VASP.

- Space group: No. 62
- Electronic total energy: -5.253 eV/atom
- Magnetization: 0.007 μB per formula unit

The structure in Quantum ESPRESSO input format:
```
&SYSTEM
  ibrav = 0, nat = 12, ntyp = 3
/
ATOMIC_SPECIES
Al 26.98 Al.upf
Gd 157.25 Gd.upf
Y 88.91 Y.upf
CELL_PARAMETERS angstrom
6.564 0.000 0.000
0.000 5.132 0.000
0.000 0.000 9.574
ATOMIC_POSITIONS crystal
Al 0.293 0.750 0.104
Al 0.793 0.750 0.396
Al 0.207 0.250 0.604
Al 0.707 0.250 0.896
Gd 0.529 0.250 0.207
Gd 0.029 0.250 0.293
Gd 0.971 0.750 0.707
Gd 0.471 0.750 0.793
Y 0.815 0.750 0.073
Y 0.315 0.750 0.427
Y 0.685 0.250 0.573
Y 0.185 0.250 0.927
```

---

Record 20
Here is a relaxed structure of GdZrAl from OQMD via LeMat-Bulk. Energies are from GGA-PBE. Values from VASP.

- Space group: No. 216
- Electronic total energy: -5.049 eV/atom
- Magnetization: 1.619 μB per formula unit

The structure in Quantum ESPRESSO input format:
```
&SYSTEM
  ibrav = 0, nat = 3, ntyp = 3
/
ATOMIC_SPECIES
Al 26.98 Al.upf
Gd 157.25 Gd.upf
Zr 91.22 Zr.upf
CELL_PARAMETERS angstrom
2.980 -3.178 2.243
1.146 0.630 4.722
-1.784 -3.062 3.384
ATOMIC_POSITIONS crystal
Al 0.250 0.250 0.250
Gd 0.750 0.750 0.750
Zr 0.000 0.000 0.000
```